(1)
Below is Ba3DyBi2O8 after structural relaxation, with properties calculated at the PBE level.

Lattice parameters (Å, degrees): 6.2934 6.2934 8.1405 90.00 90.00 120.00
With the nearest neighbours (Å) after each atom.
Sites, in units of the cell vectors:
O: 0.8371 0.6742 0.6683  1 Bi 2.17, 1 Dy 2.24
O: 0.6742 0.8371 0.3317  1 Bi 2.17, 1 Dy 2.24
O: 0.1629 0.8371 0.3317  1 Bi 2.17, 1 Dy 2.24
O: 0.3333 0.6667 0.9253  1 Bi 2.19, 1 Ba 2.42
O: 0.1629 0.3258 0.3317  1 Bi 2.17, 1 Dy 2.24
O: 0.8371 0.1629 0.6683  1 Bi 2.17, 1 Dy 2.24
O: 0.6667 0.3333 0.0747  1 Bi 2.19, 1 Ba 2.42
O: 0.3258 0.1629 0.6683  1 Bi 2.17, 1 Dy 2.24
Ba: 0.0000 0.0000 0.0000  6 O 3.23
Ba: 0.3333 0.6667 0.6281  1 O 2.42
Ba: 0.6667 0.3333 0.3719  1 O 2.42
Bi: 0.6667 0.3333 0.8061  4 O 2.17-2.19
Bi: 0.3333 0.6667 0.1939  4 O 2.17-2.19
Dy: 0.0000 0.0000 0.5000  6 O 2.24

The space-group type is P-3m1, No. 164. The calculation puts the uncorrected formation energy at -2073 meV/atom.

(2)
Below is NdLuThIn after structural relaxation, with properties calculated at the PBE level.

Lattice parameters (Å, degrees): 5.5193 5.5193 5.5193 60.00 60.00 60.00
With the nearest neighbours (Å) after each atom.
Sites, in units of the cell vectors:
Lu: 0.7500 0.7500 0.7500  4 Nd 3.38, 4 Th 3.38
Th: 0.0000 0.0000 0.0000  4 In 3.38, 4 Lu 3.38
In: 0.2500 0.2500 0.2500  4 Th 3.38, 4 Nd 3.38
Nd: 0.5000 0.5000 0.5000  4 In 3.38, 4 Lu 3.38

The space-group type is F-43m, No. 216. The value obtained for the formation energy from the elements is -0.080 eV per atom.

(3)
Below is CuMoRh2 after structural relaxation, with properties calculated at the PBE level.

Lattice parameters (Å, degrees): 2.7790 3.6736 5.5261 90.00 90.00 90.00
With the nearest neighbours (Å) after each atom.
Sites, in units of the cell vectors:
Mo: 0.5000 0.5000 0.7500  8 Rh 2.70, 2 Cu 2.76, 2 Mo 2.78
Cu: 0.5000 0.5000 0.2500  8 Rh 2.67, 2 Mo 2.76, 2 Cu 2.78
Rh: 0.0000 0.0000 0.0053  4 Cu 2.67, 4 Mo 2.70, 4 Rh 2.70-2.82
Rh: 0.0000 0.0000 0.4947  4 Cu 2.67, 4 Mo 2.70, 4 Rh 2.70-2.82

The space-group type is Pmmm, No. 47. The value obtained for the formation energy from the elements is -0.116 eV per atom.

(4)
Below is TbNdMgMn after structural relaxation, with properties calculated at the PBE level.

Lattice parameters (Å, degrees): 5.2768 5.2768 5.2768 60.00 60.00 60.00
With the nearest neighbours (Å) after each atom.
Sites, in units of the cell vectors:
Mn: 0.5000 0.5000 0.5000  4 Nd 3.23, 4 Tb 3.23
Tb: 0.2500 0.2500 0.2500  4 Mn 3.23, 4 Mg 3.23
Mg: 0.0000 0.0000 0.0000  4 Nd 3.23, 4 Tb 3.23
Nd: 0.7500 0.7500 0.7500  4 Mn 3.23, 4 Mg 3.23

The space-group type is F-43m, No. 216. The value obtained for the formation energy from the elements is 0.112 eV per atom.

For the records above, the corresponding magnetization values read 0.97 0.00 0.00 3.26 Bohr magnetons per cell.
For the records above, the corresponding VASP energy values read -6.2011 -4.9419 -7.5231 -4.9286 eV per atom.